This record from Alexandria via LeMat-Bulk describes an optimized crystal structure of PrYRhAu. The functional is PBE. Values from VASP.

Quantum ESPRESSO input file:
```
&SYSTEM
  ibrav = 0, nat = 4, ntyp = 4
/
ATOMIC_SPECIES
Pr 140.91 Pr.upf
Rh 102.91 Rh.upf
Au 196.97 Au.upf
Y 88.91 Y.upf
ATOMIC_POSITIONS crystal
Pr 0.250 0.250 0.250
Rh 0.500 0.500 0.500
Au 0.000 0.000 0.000
Y 0.750 0.750 0.750
CELL_PARAMETERS angstrom
-0.225 -1.047 4.972
-4.166 -2.164 1.957
0.151 -4.828 1.591
```

- Total magnetization: 0.0 μB per formula unit
- DFT formation energy: -0.72 eV per atom

***

This record from Alexandria via LeMat-Bulk describes an optimized crystal structure of Pu3Ga2Ni7. The functional is PBE. Values from VASP.

Quantum ESPRESSO input file:
```
&SYSTEM
  ibrav = 0, nat = 12, ntyp = 3
/
ATOMIC_SPECIES
Pu 244.00 Pu.upf
Ga 69.72 Ga.upf
Ni 58.69 Ni.upf
ATOMIC_POSITIONS crystal
Pu 0.000 0.000 0.000
Pu 0.858 0.858 0.424
Pu 0.142 0.142 0.576
Ga 0.668 0.668 0.997
Ga 0.332 0.332 0.003
Ni 0.500 0.500 0.500
Ni 0.916 0.418 0.247
Ni 0.418 0.916 0.247
Ni 0.418 0.418 0.247
Ni 0.084 0.582 0.753
Ni 0.582 0.582 0.753
Ni 0.582 0.084 0.753
CELL_PARAMETERS angstrom
-2.655 4.136 -1.538
-4.216 1.457 2.574
2.135 6.438 5.003
```

- Total magnetization: 15.8 μB per formula unit
- DFT formation energy: -0.33 eV per atom

***

This record from Alexandria via LeMat-Bulk describes an optimized crystal structure of LiHfFeSi. The functional is PBE. Values from VASP.

Quantum ESPRESSO input file:
```
&SYSTEM
  ibrav = 0, nat = 4, ntyp = 4
/
ATOMIC_SPECIES
Si 28.09 Si.upf
Hf 178.49 Hf.upf
Fe 55.84 Fe.upf
Li 6.94 Li.upf
ATOMIC_POSITIONS crystal
Si 0.000 0.000 0.000
Hf 0.500 0.500 0.500
Fe 0.750 0.750 0.750
Li 0.250 0.250 0.250
CELL_PARAMETERS angstrom
-0.648 -1.602 -3.855
-3.217 -2.655 -0.670
-3.333 1.252 -2.274
```

- Uncorrected formation energy: -0.368 eV/atom
- Total magnetization: 1.0 μB per formula unit

***

This record from Alexandria via LeMat-Bulk describes an optimized crystal structure of Li4Nd3In4. The functional is PBE. Values from VASP.

Quantum ESPRESSO input file:
```
&SYSTEM
  ibrav = 0, nat = 11, ntyp = 3
/
ATOMIC_SPECIES
Li 6.94 Li.upf
Nd 144.24 Nd.upf
In 114.82 In.upf
ATOMIC_POSITIONS crystal
Li 0.593 0.093 0.814
Li 0.259 0.260 0.480
Li 0.741 0.740 0.520
Li 0.407 0.907 0.186
Nd 0.142 0.643 0.716
Nd 0.858 0.357 0.284
Nd 0.000 0.000 0.000
In 0.549 0.550 0.901
In 0.451 0.450 0.099
In 0.316 0.814 0.370
In 0.684 0.186 0.630
CELL_PARAMETERS angstrom
-2.738 -2.150 0.106
0.606 -1.012 -4.889
8.407 -13.458 1.223
```

- Total magnetization: 0.0 μB per formula unit
- DFT formation energy: -0.34 eV per atom